[1]
The following is a PBE calculation of Co2CuBr after structural relaxation, from the Alexandria database.

Calculated values
magnetic moment	3.457	μB per cell
uncorrected energy	-4.226	eV per atom

Unit cell a=4.711 b=4.711 c=4.711 alpha=132.79 beta=132.79 gamma=68.98
Element x y z (fractional)
Co: 0.000 0.000 0.000
Co: 0.750 0.250 0.500
Cu: 0.250 0.750 0.500
Br: 0.500 0.500 0.000

---

[2]
The following is a PBE calculation of CoCu3Br after structural relaxation, from the Alexandria database.

Calculated values
magnetic moment	1.644	μB per cell
uncorrected energy	-2.838	eV per atom

Unit cell a=4.611 b=4.611 c=4.611 alpha=90.00 beta=90.00 gamma=90.00
Element x y z (fractional)
Co: 0.000 0.000 0.000
Cu: 0.000 0.500 0.500
Cu: 0.500 0.000 0.500
Cu: 0.500 0.500 0.000
Br: 0.500 0.500 0.500

---

[3]
The following is a PBE calculation of Co2CuBr after structural relaxation, from the Alexandria database.

Calculated values
magnetic moment	3.817	μB per cell
uncorrected energy	-4.443	eV per atom

Unit cell a=6.054 b=6.054 c=6.054 alpha=150.39 beta=142.40 gamma=48.57
Element x y z (fractional)
Co: 0.000 0.000 0.000
Co: 0.847 0.347 0.500
Cu: 0.371 0.871 0.500
Br: 0.649 0.649 0.000

---

[4]
The following is a PBE calculation of Co2Cu2Br7 after structural relaxation, from the Alexandria database.

Calculated values
magnetic moment	14.144	μB per cell
uncorrected energy	-3.401	eV per atom

Unit cell a=7.376 b=7.376 c=14.575 alpha=101.96 beta=101.96 gamma=96.82
Element x y z (fractional)
Co: 0.138 0.243 0.220
Co: 0.243 0.138 0.720
Co: 0.757 0.862 0.280
Co: 0.862 0.757 0.780
Cu: 0.333 0.536 0.818
Cu: 0.464 0.667 0.682
Cu: 0.536 0.333 0.318
Cu: 0.667 0.464 0.182
Br: 0.062 0.938 0.250
Br: 0.098 0.672 0.890
Br: 0.200 0.395 0.640
Br: 0.276 0.457 0.370
Br: 0.328 0.902 0.610
Br: 0.395 0.200 0.140
Br: 0.457 0.276 0.870
Br: 0.543 0.724 0.130
Br: 0.605 0.800 0.860
Br: 0.672 0.098 0.390
Br: 0.724 0.543 0.630
Br: 0.800 0.605 0.360
Br: 0.902 0.328 0.110
Br: 0.938 0.062 0.750

---

[5]
The following is a PBE calculation of Co2CuBr after structural relaxation, from the Alexandria database.

Calculated values
magnetic moment	3.761	μB per cell
uncorrected energy	-4.502	eV per atom

Unit cell a=4.337 b=4.337 c=6.868 alpha=119.56 beta=119.56 gamma=41.57
Element x y z (fractional)
Co: 0.154 0.154 0.359
Co: 0.846 0.846 0.641
Cu: 0.500 0.500 0.500
Br: 0.500 0.500 0.000